# RbMo2O4

An optimized crystal structure of RbMo2O4 (GGA+U, Alexandria via LeMat-Bulk).

Structure (POSCAR):
```
RbMo2O4
1.0
-2.940 1.794 -5.828
5.385 -2.447 -3.292
-3.573 -3.893 4.232
Rb Mo O
2 4 8
Cartesian
1.496 -3.327 -1.729 Rb
0.022 -0.006 -0.082 Rb
1.982 -1.993 -5.465 Mo
-1.028 -3.613 1.211 Mo
-2.497 -2.716 -1.703 Mo
-0.711 -0.769 -3.819 Mo
-4.118 -1.536 -2.418 O
-2.933 -2.903 0.321 O
1.358 -1.523 -3.538 O
-1.686 -0.752 -1.822 O
-2.061 -2.529 -3.727 O
-2.780 -0.016 -4.100 O
0.264 -0.787 -5.816 O
-0.877 -3.896 -0.988 O
```

Its electronic total energy is -6.5658 eV per atom.